# Nd2Al3PdAu4 GGA-PBE relaxed
data_Nd2Al3PdAu4
_chemical_formula_sum 'Nd2 Al3 Pd1 Au4'
_space_group_name_H-M_alt 'P -4 m 2'
_space_group_IT_number 115
_cell_length_a 4.346
_cell_length_b 4.346
_cell_length_c 10.984
_cell_angle_alpha 90.00
_cell_angle_beta 90.00
_cell_angle_gamma 90.00
loop_
_space_group_symop_operation_xyz
'x,y,z'
'y,-x,-z'
'-x,-y,z'
'-y,x,-z'
'-x,y,z'
'-y,-x,-z'
'x,-y,z'
'y,x,-z'
loop_
_atom_site_label
_atom_site_type_symbol
_atom_site_fract_x
_atom_site_fract_y
_atom_site_fract_z
_atom_site_occupancy
Nd1 Nd 0.000 0.500 0.247 1
Al1 Al 0.000 0.000 0.000 1
Al2 Al 0.000 0.500 0.626 1
Pd1 Pd 0.500 0.500 0.000 1
Au1 Au 0.000 0.000 0.500 1
Au2 Au 0.000 0.500 0.852 1
Au3 Au 0.500 0.500 0.500 1
# - total energy (eV per atom) = -4.579
# - DFT formation energy (eV/atom) = -0.67

# NdAl2Pd2Au GGA-PBE relaxed
data_NdAl2Pd2Au
_chemical_formula_sum 'Nd1 Al2 Pd2 Au1'
_space_group_name_H-M_alt 'P 4/m m m'
_space_group_IT_number 123
_space_group_name_Hall '-P 4 2'
_cell_length_a 4.728
_cell_length_b 4.728
_cell_length_c 5.751
_cell_angle_alpha 90.00
_cell_angle_beta 90.00
_cell_angle_gamma 90.00
loop_
_atom_site_label
_atom_site_type_symbol
_atom_site_fract_x
_atom_site_fract_y
_atom_site_fract_z
_atom_site_occupancy
Nd1 Nd 0.000 0.000 0.000 1
Al1 Al 0.000 0.500 0.500 1
Pd1 Pd 0.500 0.500 0.247 1
Au1 Au 0.000 0.000 0.500 1
# - total energy (eV per atom) = -4.698
# - DFT formation energy (eV/atom) = -0.38

# Nd2Al3Pd4Au GGA-PBE relaxed
data_Nd2Al3Pd4Au
_chemical_formula_sum 'Nd2 Al3 Pd4 Au1'
_space_group_name_H-M_alt 'P -4 m 2'
_space_group_IT_number 115
_cell_length_a 4.311
_cell_length_b 4.311
_cell_length_c 10.664
_cell_angle_alpha 90.00
_cell_angle_beta 90.00
_cell_angle_gamma 90.00
loop_
_space_group_symop_operation_xyz
'x,y,z'
'y,-x,-z'
'-x,-y,z'
'-y,x,-z'
'-x,y,z'
'-y,-x,-z'
'x,-y,z'
'y,x,-z'
loop_
_atom_site_label
_atom_site_type_symbol
_atom_site_fract_x
_atom_site_fract_y
_atom_site_fract_z
_atom_site_occupancy
Nd1 Nd 0.000 0.500 0.248 1
Al1 Al 0.000 0.000 0.000 1
Al2 Al 0.000 0.500 0.618 1
Pd1 Pd 0.000 0.000 0.500 1
Pd2 Pd 0.000 0.500 0.847 1
Pd3 Pd 0.500 0.500 0.500 1
Au1 Au 0.500 0.500 0.000 1
# - total energy (eV per atom) = -5.269
# - DFT formation energy (eV/atom) = -0.79